A:
VASP calculation (PBE-GGA) on a relaxed structure of Cr2HOsW.

Output
space-group type = P4/mmm
crystal system = tetragonal

Cell lengths 3.8441, 3.8441, 3.8219 Å; angles 90.00, 90.00, 90.00 degrees
With the nearest neighbours (Å) after each atom.
Sites, in units of the cell vectors:
Cr (0.5000, 0.0000, 0.0000)  2 H 1.92
Os (0.0000, 0.0000, 0.5000)  2 H 1.91
W (0.5000, 0.5000, 0.5000)  8 Cr 2.71, 4 Os 2.72
Cr (0.0000, 0.5000, 0.0000)  2 H 1.92
H (0.0000, 0.0000, 0.0000)  2 Os 1.91, 4 Cr 1.92

B:
VASP calculation (PBE-GGA) on a relaxed structure of Cr2HOsW.

Output
space-group type = P4/mmm
crystal system = tetragonal

Cell lengths 3.8076, 3.8076, 3.8945 Å; angles 90.00, 90.00, 90.00 degrees
With the nearest neighbours (Å) after each atom.
Sites, in units of the cell vectors:
Cr (0.0000, 0.5000, 0.0000)  2 H 1.90
Cr (0.5000, 0.0000, 0.0000)  2 H 1.90
W (0.0000, 0.0000, 0.5000)  2 H 1.95
H (0.0000, 0.0000, 0.0000)  4 Cr 1.90, 2 W 1.95
Os (0.5000, 0.5000, 0.5000)  4 W 2.69, 8 Cr 2.72

The structure shown above that is least stable: A.